<i>
TaBeAs2Br: relaxed, PBE.

Cell: 4.4169 4.4169 4.8117 Å, 90.00 90.00 90.00°
Last column: nearest neighbours and their distance in Å.
Element x y z (fractional)
Ta (0.0000, 0.0000, 0.0000)  4 Br 3.12, 8 As 3.27
Be (0.5000, 0.5000, 0.5000)  4 As 2.21, 2 Br 2.41
As (0.0000, 0.5000, 0.5000)  2 Be 2.21
As (0.5000, 0.0000, 0.5000)  2 Be 2.21
Br (0.5000, 0.5000, 0.0000)  2 Be 2.41

Results
Symmetry: P4/mmm (123)
Magnetization: 1.68 μB per formula unit



<ii>
TaBeAs2Br: relaxed, PBE.

Cell: 5.0098 5.0098 5.1786 Å, 90.00 90.00 90.00°
Last column: nearest neighbours and their distance in Å.
Element x y z (fractional)
Ta (0.0000, 0.0000, 0.0000)  4 As 2.50, 2 Br 2.59
Be (0.5000, 0.5000, 0.5000)  4 Br 3.54, 8 As 3.60
As (0.0000, 0.5000, 0.0000)  2 Ta 2.50
As (0.5000, 0.0000, 0.0000)  2 Ta 2.50
Br (0.0000, 0.0000, 0.5000)  2 Ta 2.59

Results
Symmetry: P4/mmm (123)
Magnetization: 0.00 μB per formula unit



What is the stability order? It is <ii>, <i>, from most stable to least stable.



<i>
BeTcAsBr2: relaxed, PBE.

Cell: 4.6042 4.6042 5.0948 Å, 90.00 90.00 90.00°
Last column: nearest neighbours and their distance in Å.
Element x y z (fractional)
Be (0.0000, 0.0000, 0.0000)  4 Br 2.30, 2 As 2.55
Tc (0.5000, 0.5000, 0.5000)  4 As 3.26, 8 Br 3.43
As (0.0000, 0.0000, 0.5000)  2 Be 2.55
Br (0.0000, 0.5000, 0.0000)  2 Be 2.30
Br (0.5000, 0.0000, 0.0000)  2 Be 2.30

Results
Symmetry: P4/mmm (123)
Magnetization: 4.07 μB per formula unit



<ii>
BeTcAsBr2: relaxed, PBE.

Cell: 5.2078 5.2078 4.7698 Å, 90.00 90.00 90.00°
Last column: nearest neighbours and their distance in Å.
Element x y z (fractional)
Be (0.0000, 0.0000, 0.0000)  8 Br 3.53, 4 As 3.68
Tc (0.5000, 0.5000, 0.5000)  2 As 2.38, 4 Br 2.60
As (0.5000, 0.5000, 0.0000)  2 Tc 2.38
Br (0.0000, 0.5000, 0.5000)  2 Tc 2.60
Br (0.5000, 0.0000, 0.5000)  2 Tc 2.60

Results
Symmetry: P4/mmm (123)
Magnetization: 1.43 μB per formula unit



What is the stability order? It is <i>, <ii>, from most stable to least stable.



<i>
BeTeAsBr2: relaxed, PBE.

Cell: 5.6258 5.6258 5.4420 Å, 90.00 90.00 90.00°
Last column: nearest neighbours and their distance in Å.
Element x y z (fractional)
Be (0.0000, 0.0000, 0.0000)  8 Br 3.91, 4 As 3.98
Te (0.5000, 0.5000, 0.5000)  2 As 2.72, 4 Br 2.81
As (0.5000, 0.5000, 0.0000)  2 Te 2.72
Br (0.0000, 0.5000, 0.5000)  2 Te 2.81
Br (0.5000, 0.0000, 0.5000)  2 Te 2.81

Results
Symmetry: P4/mmm (123)
Magnetization: 0.18 μB per formula unit



<ii>
BeTeAsBr2: relaxed, PBE.

Cell: 4.6329 4.6329 5.1954 Å, 90.00 90.00 90.00°
Last column: nearest neighbours and their distance in Å.
Element x y z (fractional)
Be (0.0000, 0.0000, 0.0000)  4 Br 2.32
Te (0.5000, 0.5000, 0.5000)  4 As 3.28, 8 Br 3.48
As (0.0000, 0.0000, 0.5000)  2 Be 2.60
Br (0.0000, 0.5000, 0.0000)  2 Be 2.32
Br (0.5000, 0.0000, 0.0000)  2 Be 2.32

Results
Symmetry: P4/mmm (123)
Magnetization: 0.00 μB per formula unit



What is the stability order? It is <ii>, <i>, from most stable to least stable.



<i>
TiBeAsBr2: relaxed, PBE.

Cell: 4.9693 4.9693 5.2009 Å, 90.00 90.00 90.00°
Last column: nearest neighbours and their distance in Å.
Element x y z (fractional)
Ti (0.0000, 0.0000, 0.0000)  4 Br 2.48, 2 As 2.60
Be (0.5000, 0.5000, 0.5000)  4 As 3.51, 8 Br 3.60
As (0.0000, 0.0000, 0.5000)  2 Ti 2.60
Br (0.0000, 0.5000, 0.0000)  2 Ti 2.48
Br (0.5000, 0.0000, 0.0000)  2 Ti 2.48

Results
Symmetry: P4/mmm (123)
Magnetization: 0.00 μB per formula unit



<ii>
TiBeAsBr2: relaxed, PBE.

Cell: 4.5660 4.5660 4.9432 Å, 90.00 90.00 90.00°
Last column: nearest neighbours and their distance in Å.
Element x y z (fractional)
Ti (0.0000, 0.0000, 0.0000)  4 As 3.23, 8 Br 3.36
Be (0.5000, 0.5000, 0.5000)  4 Br 2.28, 2 As 2.47
As (0.5000, 0.5000, 0.0000)  2 Be 2.47
Br (0.0000, 0.5000, 0.5000)  2 Be 2.28
Br (0.5000, 0.0000, 0.5000)  2 Be 2.28

Results
Symmetry: P4/mmm (123)
Magnetization: 0.00 μB per formula unit



What is the stability order? It is <i>, <ii>, from most stable to least stable.



<i>
BeVAs2Br: relaxed, PBE.

Cell: 4.3447 4.3447 5.2682 Å, 90.00 90.00 90.00°
Last column: nearest neighbours and their distance in Å.
Element x y z (fractional)
Be (0.0000, 0.0000, 0.0000)  4 As 2.17
V (0.5000, 0.5000, 0.5000)  4 Br 3.07, 8 As 3.41
As (0.0000, 0.5000, 0.0000)  2 Be 2.17
As (0.5000, 0.0000, 0.0000)  2 Be 2.17
Br (0.0000, 0.0000, 0.5000)  2 Be 2.63

Results
Symmetry: P4/mmm (123)
Magnetization: 2.63 μB per formula unit



<ii>
BeVAs2Br: relaxed, PBE.

Cell: 4.6650 4.6650 5.3144 Å, 90.00 90.00 90.00°
Last column: nearest neighbours and their distance in Å.
Element x y z (fractional)
Be (0.0000, 0.0000, 0.0000)  4 Br 3.30, 8 As 3.54
V (0.5000, 0.5000, 0.5000)  4 As 2.33
As (0.0000, 0.5000, 0.5000)  2 V 2.33
As (0.5000, 0.0000, 0.5000)  2 V 2.33
Br (0.5000, 0.5000, 0.0000)  2 V 2.66

Results
Symmetry: P4/mmm (123)
Magnetization: 0.13 μB per formula unit



What is the stability order? It is <i>, <ii>, from most stable to least stable.



<i>
BeVAsBr2: relaxed, PBE.

Cell: 4.7876 4.7876 4.5986 Å, 90.00 90.00 90.00°
Last column: nearest neighbours and their distance in Å.
Element x y z (fractional)
Be (0.0000, 0.0000, 0.0000)  2 As 2.30, 4 Br 2.39
V (0.5000, 0.5000, 0.5000)  8 Br 3.32, 4 As 3.39
As (0.0000, 0.0000, 0.5000)  2 Be 2.30
Br (0.0000, 0.5000, 0.0000)  2 Be 2.39
Br (0.5000, 0.0000, 0.0000)  2 Be 2.39

Results
Symmetry: P4/mmm (123)
Magnetization: 2.82 μB per formula unit



<ii>
BeVAsBr2: relaxed, PBE.

Cell: 4.9543 4.9543 4.8996 Å, 90.00 90.00 90.00°
Last column: nearest neighbours and their distance in Å.
Element x y z (fractional)
Be (0.0000, 0.0000, 0.0000)  8 Br 3.48, 4 As 3.50
V (0.5000, 0.5000, 0.5000)  2 As 2.45, 4 Br 2.48
As (0.5000, 0.5000, 0.0000)  2 V 2.45
Br (0.0000, 0.5000, 0.5000)  2 V 2.48
Br (0.5000, 0.0000, 0.5000)  2 V 2.48

Results
Symmetry: P4/mmm (123)
Magnetization: 0.00 μB per formula unit



What is the stability order? It is <i>, <ii>, from most stable to least stable.



<i>
BeAs2WBr: relaxed, PBE.

Cell: 4.8527 4.8527 5.3252 Å, 90.00 90.00 90.00°
Last column: nearest neighbours and their distance in Å.
Element x y z (fractional)
Be (0.0000, 0.0000, 0.0000)  4 Br 3.43, 8 As 3.60
As (0.0000, 0.5000, 0.5000)  2 W 2.43
As (0.5000, 0.0000, 0.5000)  2 W 2.43
W (0.5000, 0.5000, 0.5000)  4 As 2.43, 2 Br 2.66
Br (0.5000, 0.5000, 0.0000)  2 W 2.66

Results
Symmetry: P4/mmm (123)
Magnetization: 0.09 μB per formula unit



<ii>
BeAs2WBr: relaxed, PBE.

Cell: 4.3994 4.3994 4.8234 Å, 90.00 90.00 90.00°
Last column: nearest neighbours and their distance in Å.
Element x y z (fractional)
Be (0.0000, 0.0000, 0.0000)  4 As 2.20, 2 Br 2.41
As (0.0000, 0.5000, 0.0000)  2 Be 2.20
As (0.5000, 0.0000, 0.0000)  2 Be 2.20
W (0.5000, 0.5000, 0.5000)  4 Br 3.11, 8 As 3.26
Br (0.0000, 0.0000, 0.5000)  2 Be 2.41

Results
Symmetry: P4/mmm (123)
Magnetization: 2.60 μB per formula unit



What is the stability order? It is <i>, <ii>, from most stable to least stable.



<i>
BeAsWBr2: relaxed, PBE.

Cell: 5.1590 5.1590 4.9077 Å, 90.00 90.00 90.00°
Last column: nearest neighbours and their distance in Å.
Element x y z (fractional)
Be (0.0000, 0.0000, 0.0000)  8 Br 3.56, 4 As 3.65
As (0.5000, 0.5000, 0.0000)  2 W 2.45
W (0.5000, 0.5000, 0.5000)  2 As 2.45, 4 Br 2.58
Br (0.0000, 0.5000, 0.5000)  2 W 2.58
Br (0.5000, 0.0000, 0.5000)  2 W 2.58

Results
Symmetry: P4/mmm (123)
Magnetization: 0.52 μB per formula unit



<ii>
BeAsWBr2: relaxed, PBE.

Cell: 4.5696 4.5696 4.8973 Å, 90.00 90.00 90.00°
Last column: nearest neighbours and their distance in Å.
Element x y z (fractional)
Be (0.0000, 0.0000, 0.0000)  4 Br 2.28, 2 As 2.45
As (0.0000, 0.0000, 0.5000)  2 Be 2.45
W (0.5000, 0.5000, 0.5000)  4 As 3.23, 8 Br 3.35
Br (0.0000, 0.5000, 0.0000)  2 Be 2.28
Br (0.5000, 0.0000, 0.0000)  2 Be 2.28

Results
Symmetry: P4/mmm (123)
Magnetization: 3.09 μB per formula unit



What is the stability order? It is <i>, <ii>, from most stable to least stable.